CuOs3Se5, optimized geometry, DFT PBE-GGA; E = -50.7 eV per cell; calculated density = 8.59 g/cm³; magnetization = 0.006 μB per cell
1.0
5.7135 0.0000 0.0000
-2.8567 4.9480 0.0000
0.0000 0.0000 7.0366
Se Os Cu
5 3 1
direct
0.0000 0.0000 0.5000
0.3333 0.6667 0.2374
0.6667 0.3333 0.2374
0.3333 0.6667 0.7626
0.6667 0.3333 0.7626
0.0000 0.5000 0.5000
0.5000 0.5000 0.5000
0.5000 0.0000 0.5000
0.0000 0.0000 0.0000

---

TlCuOsSe3, optimized geometry, DFT PBE-GGA; energy above the lowest structure with this stoichiometry = 84 meV per atom; E = -56.0 eV per cell; calculated density = 8.76 g/cm³; magnetization = 0.035 μB per cell
1.0
3.7701 0.0000 0.0000
-1.8851 7.2440 0.0000
0.0000 0.0000 9.6428
Se Tl Cu Os
6 2 2 2
direct
0.3845 0.7691 0.9647
0.6155 0.2309 0.0353
0.9301 0.8602 0.2500
0.0699 0.1398 0.7500
0.3845 0.7691 0.5353
0.6155 0.2309 0.4647
0.2420 0.4841 0.2500
0.7580 0.5159 0.7500
0.4641 0.9281 0.7500
0.5359 0.0719 0.2500
0.0000 0.0000 0.5000
0.0000 0.0000 0.0000

---

TlCu3OsSe4, optimized geometry, DFT PBE-GGA; E = -37.7 eV per cell; calculated density = 6.73 g/cm³; magnetization = 0.185 μB per cell
1.0
6.0574 0.0000 0.0000
0.0000 6.0574 0.0000
0.0000 0.0000 6.0574
Se Os Cu Tl
4 1 3 1
direct
0.2733 0.2733 0.2733
0.7267 0.7267 0.2733
0.2733 0.7267 0.7267
0.7267 0.2733 0.7267
0.5000 0.5000 0.5000
0.0000 0.5000 0.5000
0.5000 0.5000 0.0000
0.5000 0.0000 0.5000
0.0000 0.0000 0.0000

---

TlCuOsSe3, optimized geometry, DFT PBE-GGA; energy above the lowest structure with this stoichiometry = 0 meV per atom; E = -57.0 eV per cell; calculated density = 8.54 g/cm³; magnetization = 0.058 μB per cell
1.0
7.8877 0.0000 0.0000
0.0000 3.7898 0.0000
-3.8753 0.0000 9.0368
Cu Os Se Tl
2 2 6 2
direct
0.0778 0.2500 0.6096
0.9222 0.7500 0.3904
0.6934 0.2500 0.1628
0.3065 0.7500 0.8372
0.8973 0.7500 0.1432
0.1027 0.2500 0.8568
0.2500 0.7500 0.5662
0.4636 0.7500 0.1166
0.5364 0.2500 0.8834
0.7500 0.2500 0.4338
0.7234 0.7500 0.7106
0.2766 0.2500 0.2894

---

CuSi5Os3, optimized geometry, DFT PBE-GGA; E = -61.2 eV per cell; calculated density = 8.54 g/cm³; magnetization = 0.883 μB per cell
1.0
5.3559 0.0000 0.0000
-2.6780 4.6384 0.0000
0.0000 0.0000 6.0667
Os Si Cu
3 5 1
direct
0.5000 0.0000 0.5000
0.0000 0.5000 0.5000
0.5000 0.5000 0.5000
0.0000 0.0000 0.5000
0.3333 0.6667 0.1893
0.6667 0.3333 0.1893
0.6667 0.3333 0.8107
0.3333 0.6667 0.8107
0.0000 0.0000 0.0000

---

TbCuSi2Os, optimized geometry, DFT PBE-GGA; E = -33.3 eV per cell; calculated density = 9.57 g/cm³; magnetization = 0.002 μB per cell
1.0
2.9820 -4.9415 -0.4918
0.5673 -3.6308 4.4775
-4.1426 2.9362 -2.7875
Os Si Tb Cu
1 2 1 1
direct
0.5000 0.5000 0.0000
0.1304 0.6304 0.5000
0.3696 0.8696 0.5000
0.7500 0.2500 0.5000
0.0000 0.0000 0.0000

---

CuSiOsW, optimized geometry, DFT PBE-GGA; energy above the lowest structure with this stoichiometry = 0 meV per atom; E = -32.5 eV per cell; calculated density = 13.96 g/cm³; magnetization = 0.004 μB per cell
1.0
-1.3816 3.0043 2.7156
0.4058 4.1399 -1.0025
-3.4661 2.3190 -0.9579
Os W Si Cu
1 1 1 1
direct
0.2500 0.2500 0.2500
0.5000 0.5000 0.5000
0.0000 0.0000 0.0000
0.7500 0.7500 0.7500

---

ZrCuSiOs, optimized geometry, DFT PBE-GGA; energy above the lowest structure with this stoichiometry = 0 meV per atom; E = -29.8 eV per cell; calculated density = 10.23 g/cm³; magnetization = 0.004 μB per cell
1.0
0.0000 3.1173 3.1173
3.1173 0.0000 3.1173
3.1173 3.1173 0.0000
Si Zr Os Cu
1 1 1 1
direct
0.0000 0.0000 0.0000
0.5000 0.5000 0.5000
0.2500 0.2500 0.2500
0.7500 0.7500 0.7500

---

ZrCuSiOs, optimized geometry, DFT PBE-GGA; energy above the lowest structure with this stoichiometry = 272 meV per atom; E = -28.7 eV per cell; calculated density = 9.96 g/cm³; magnetization = 0.000 μB per cell
1.0
-3.2431 -2.9480 0.7576
-0.9840 -1.2015 4.1677
-3.8205 1.3239 1.8529
Cu Si Zr Os
1 1 1 1
direct
0.7500 0.7500 0.7500
0.0000 0.0000 0.0000
0.2500 0.2500 0.2500
0.5000 0.5000 0.5000

---

SmCuOs, optimized geometry, DFT PBE-GGA; energy above the lowest structure with this stoichiometry = 0 meV per atom; ΔH_f (0 K) = 599 meV/atom; E = -17.9 eV per cell; calculated density = 10.56 g/cm³; magnetization = 0.000 μB per cell
1.0
4.1374 -1.5959 0.6315
0.6220 -4.3684 0.7708
1.9082 -2.5767 -3.1278
Cu Os Sm
1 1 1
direct
0.2500 0.2500 0.2500
0.0000 0.0000 0.0000
0.7500 0.7500 0.7500

---

SmCuOs, optimized geometry, DFT PBE-GGA; energy above the lowest structure with this stoichiometry = 521 meV per atom; ΔH_f (0 K) = 1120 meV/atom; E = -16.3 eV per cell; calculated density = 10.00 g/cm³; magnetization = 0.142 μB per cell
1.0
4.3793 -1.2692 -0.1459
1.8010 -2.3806 3.4496
1.0835 -4.3930 -0.5810
Sm Os Cu
1 1 1
direct
0.0000 0.0000 0.0000
0.7500 0.7500 0.7500
0.2500 0.2500 0.2500

---

CuSnOs, optimized geometry, DFT PBE-GGA; energy above the lowest structure with this stoichiometry = 0 meV per atom; E = -17.4 eV per cell; calculated density = 10.89 g/cm³; magnetization = 0.002 μB per cell
1.0
-0.1451 -4.2490 -0.7367
-2.8043 -1.5986 -2.8633
1.4179 -1.5886 -3.7528
Os Sn Cu
1 1 1
direct
0.0000 0.0000 0.0000
0.7500 0.7500 0.7500
0.2500 0.2500 0.2500

---

CuSnOsW, optimized geometry, DFT PBE-GGA; energy above the lowest structure with this stoichiometry = 0 meV per atom; E = -30.3 eV per cell; calculated density = 14.64 g/cm³; magnetization = 0.046 μB per cell
1.0
1.5955 -3.2467 -2.6229
-0.0581 -4.2405 1.4075
-2.7985 -2.9374 -1.8725
Cu Os Sn W
1 1 1 1
direct
0.7500 0.7500 0.7500
0.2500 0.2500 0.2500
0.0000 0.0000 0.0000
0.5000 0.5000 0.5000

---

ZnCuSnOs, optimized geometry, DFT PBE-GGA; energy above the lowest structure with this stoichiometry = 0 meV per atom; E = -19.2 eV per cell; calculated density = 11.73 g/cm³; magnetization = 0.000 μB per cell
1.0
0.0000 3.1414 3.1414
3.1414 0.0000 3.1414
3.1414 3.1414 0.0000
Zn Sn Cu Os
1 1 1 1
direct
0.5000 0.5000 0.5000
0.0000 0.0000 0.0000
0.7500 0.7500 0.7500
0.2500 0.2500 0.2500

---

ZrCuSnOs, optimized geometry, DFT PBE-GGA; energy above the lowest structure with this stoichiometry = 290 meV per atom; E = -27.0 eV per cell; calculated density = 11.01 g/cm³; magnetization = 0.000 μB per cell
1.0
0.0000 3.2699 3.2699
3.2699 0.0000 3.2699
3.2699 3.2699 0.0000
Sn Cu Zr Os
1 1 1 1
direct
0.0000 0.0000 0.0000
0.7500 0.7500 0.7500
0.2500 0.2500 0.2500
0.5000 0.5000 0.5000

---

TaCuOs2, optimized geometry, DFT PBE-GGA; ΔH_f (0 K) = 294 meV/atom; E = -36.8 eV per cell; calculated density = 17.40 g/cm³; magnetization = 0.265 μB per cell
1.0
0.0000 3.1008 3.1008
3.1008 0.0000 3.1008
3.1008 3.1008 0.0000
Os Cu Ta
2 1 1
direct
0.7500 0.7500 0.7500
0.0000 0.0000 0.0000
0.2500 0.2500 0.2500
0.5000 0.5000 0.5000

---

TbCuOs, optimized geometry, DFT PBE-GGA; ΔH_f (0 K) = 567 meV/atom; E = -17.9 eV per cell; calculated density = 10.93 g/cm³; magnetization = 0.003 μB per cell
1.0
0.0000 3.1530 3.1530
3.1530 0.0000 3.1530
3.1530 3.1530 0.0000
Os Tb Cu
1 1 1
direct
0.0000 0.0000 0.0000
0.7500 0.7500 0.7500
0.2500 0.2500 0.2500

---

ZnCuTcOs, optimized geometry, DFT PBE-GGA; energy above the lowest structure with this stoichiometry = 0 meV per atom; ΔH_f (0 K) = 203 meV/atom; E = -25.8 eV per cell; calculated density = 12.61 g/cm³; magnetization = 0.001 μB per cell
1.0
3.4727 -0.4113 2.4446
2.6983 3.2755 0.4414
0.2475 2.0736 3.7207
Zn Cu Os Tc
1 1 1 1
direct
0.0000 0.0000 0.0000
0.7500 0.7500 0.7500
0.5000 0.5000 0.5000
0.2500 0.2500 0.2500

---

ZnCuTcOs, optimized geometry, DFT PBE-GGA; energy above the lowest structure with this stoichiometry = 241 meV per atom; ΔH_f (0 K) = 444 meV/atom; E = -24.8 eV per cell; calculated density = 12.91 g/cm³; magnetization = 0.024 μB per cell
1.0
0.0000 2.9935 2.9935
2.9935 0.0000 2.9935
2.9935 2.9935 0.0000
Os Cu Tc Zn
1 1 1 1
direct
0.0000 0.0000 0.0000
0.7500 0.7500 0.7500
0.5000 0.5000 0.5000
0.2500 0.2500 0.2500

---

TlCu3Te4Os, optimized geometry, DFT PBE-GGA; E = -35.2 eV per cell; calculated density = 6.91 g/cm³; magnetization = 0.104 μB per cell
1.0
-4.6747 2.0832 -3.8593
2.3096 -3.6257 -4.7547
-3.7282 -4.8582 1.8936
Tl Cu Te Os
1 3 4 1
direct
0.0000 0.0000 0.0000
0.5000 0.5000 0.0000
0.0000 0.5000 0.5000
0.5000 0.0000 0.5000
0.7286 0.7286 0.2714
0.2714 0.7286 0.7286
0.2714 0.2714 0.2714
0.7286 0.2714 0.7286
0.5000 0.5000 0.5000

---

YCuTeOs, optimized geometry, DFT PBE-GGA; energy above the lowest structure with this stoichiometry = 0 meV per atom; E = -24.2 eV per cell; calculated density = 10.34 g/cm³; magnetization = 0.000 μB per cell
1.0
0.0000 3.3551 3.3551
3.3551 0.0000 3.3551
3.3551 3.3551 0.0000
Cu Y Os Te
1 1 1 1
direct
0.7500 0.7500 0.7500
0.0000 0.0000 0.0000
0.2500 0.2500 0.2500
0.5000 0.5000 0.5000

---

YCuTeOs, optimized geometry, DFT PBE-GGA; energy above the lowest structure with this stoichiometry = 1 meV per atom; E = -24.1 eV per cell; calculated density = 10.49 g/cm³; magnetization = 0.000 μB per cell
1.0
0.0000 3.3391 3.3391
3.3391 0.0000 3.3391
3.3391 3.3391 0.0000
Y Os Cu Te
1 1 1 1
direct
0.0000 0.0000 0.0000
0.5000 0.5000 0.5000
0.7500 0.7500 0.7500
0.2500 0.2500 0.2500

---

YCuTeOs, optimized geometry, DFT PBE-GGA; energy above the lowest structure with this stoichiometry = 275 meV per atom; E = -23.1 eV per cell; calculated density = 9.92 g/cm³; magnetization = 0.013 μB per cell
1.0
-1.0803 -2.6254 3.8828
-3.6782 -3.0964 -0.1378
0.8413 -4.7358 0.0112
Te Os Y Cu
1 1 1 1
direct
0.5000 0.5000 0.5000
0.0000 0.0000 0.0000
0.2500 0.2500 0.2500
0.7500 0.7500 0.7500

---

TlZnCuOs, optimized geometry, DFT PBE-GGA; energy above the lowest structure with this stoichiometry = 80 meV per atom; E = -15.9 eV per cell; calculated density = 13.89 g/cm³; magnetization = 0.003 μB per cell
1.0
2.3187 -1.3033 3.5755
-2.1173 -1.7258 3.5211
0.4018 -4.3386 0.9352
Os Zn Tl Cu
1 1 1 1
direct
0.5000 0.5000 0.5000
0.2500 0.2500 0.2500
0.0000 0.0000 0.0000
0.7500 0.7500 0.7500

---

TlZnCuOs, optimized geometry, DFT PBE-GGA; energy above the lowest structure with this stoichiometry = 0 meV per atom; E = -16.2 eV per cell; calculated density = 13.57 g/cm³; magnetization = 0.001 μB per cell
1.0
-2.4311 -3.5958 1.1542
0.3455 -1.7102 4.1387
-3.4048 0.4271 2.8979
Tl Cu Zn Os
1 1 1 1
direct
0.0000 0.0000 0.0000
0.7500 0.7500 0.7500
0.5000 0.5000 0.5000
0.2500 0.2500 0.2500

---

TmCuOs, optimized geometry, DFT PBE-GGA; energy above the lowest structure with this stoichiometry = 0 meV per atom; ΔH_f (0 K) = 542 meV/atom; E = -17.8 eV per cell; calculated density = 11.62 g/cm³; magnetization = 0.087 μB per cell
1.0
-1.3754 -2.4424 -3.3969
-3.2985 1.4271 -2.5454
0.8106 1.3108 -4.1256
Cu Os Tm
1 1 1
direct
0.2500 0.2500 0.2500
0.0000 0.0000 0.0000
0.7500 0.7500 0.7500

---

TmCuOs, optimized geometry, DFT PBE-GGA; energy above the lowest structure with this stoichiometry = 423 meV per atom; ΔH_f (0 K) = 965 meV/atom; E = -16.5 eV per cell; calculated density = 11.24 g/cm³; magnetization = 0.003 μB per cell
1.0
0.0000 3.1490 3.1490
3.1490 0.0000 3.1490
3.1490 3.1490 0.0000
Tm Os Cu
1 1 1
direct
0.0000 0.0000 0.0000
0.7500 0.7500 0.7500
0.2500 0.2500 0.2500

---

UCuOs, optimized geometry, DFT PBE-GGA; energy above the lowest structure with this stoichiometry = 280 meV per atom; ΔH_f (0 K) = 780 meV/atom; E = -23.9 eV per cell; calculated density = 13.31 g/cm³; magnetization = 0.992 μB per cell
1.0
0.0000 3.1302 3.1302
3.1302 0.0000 3.1302
3.1302 3.1302 0.0000
Os Cu U
1 1 1
direct
0.7500 0.7500 0.7500
0.2500 0.2500 0.2500
0.0000 0.0000 0.0000

---

UCuOs, optimized geometry, DFT PBE-GGA; energy above the lowest structure with this stoichiometry = 0 meV per atom; ΔH_f (0 K) = 500 meV/atom; E = -24.7 eV per cell; calculated density = 13.61 g/cm³; magnetization = 1.180 μB per cell
1.0
-1.4418 -3.2885 2.5335
-4.0881 -1.5316 -0.5033
-0.6557 -3.9844 -1.7337
U Os Cu
1 1 1
direct
0.7500 0.7500 0.7500
0.0000 0.0000 0.0000
0.2500 0.2500 0.2500